The following is a DFT calculation (PBE) of a relaxed structure of RbBaSr2Li.

```
5
Lattice="6.677 0.000 0.000 0.000 6.677 0.000 0.000 0.000 6.779" Properties=species:S:1:pos:R:3 pbc="T T T"
Rb 0.000 0.000 0.000
Ba 3.339 3.339 0.000
Sr 0.000 3.339 3.389
Sr 3.339 0.000 3.389
Li 3.339 3.339 3.389
```

Computed properties:
- Calculated formation energy: 0.8 eV per formula unit
- Total DFT energy (no corrections): -1.4708 eV/atom
- Volume: 302 Å³/cell